1.
First-principles (GGA-PBEsol) data for Be2ReSnMo after structural relaxation, as listed in Alexandria via LeMat-Bulk.

The symmetry is P4/mmm, No. 123. As for the formation energy: 2049 meV/atom. The volume is 90 Å³ per cell. The crystal system is tetragonal.

abc: 4.2060 4.2060 5.0765
angles: 90.00 90.00 90.00
With the nearest neighbours (Å) after each atom.
Sites, in units of the cell vectors:
Be 0.0000 0.5000 0.0000  2 Sn 2.10
Be 0.5000 0.0000 0.0000  2 Sn 2.10
Re 0.0000 0.0000 0.5000  2 Sn 2.54
Sn 0.0000 0.0000 0.0000  4 Be 2.10
Mo 0.5000 0.5000 0.5000  4 Re 2.97, 8 Be 3.30

***

2.
First-principles (GGA-PBEsol) data for InNiAu2 after structural relaxation, as listed in Alexandria via LeMat-Bulk.

The symmetry is Pmm2, No. 25. As for the formation energy: -50 meV/atom. The volume is 65 Å³ per cell. The crystal system is orthorhombic.

abc: 3.1684 3.4812 5.8535
angles: 90.00 90.00 90.00
With the nearest neighbours (Å) after each atom.
Sites, in units of the cell vectors:
In 0.0000 0.0000 0.0000  5 Au 2.70-2.84, 4 Ni 2.71
Ni 0.5000 0.5000 0.7707  4 In 2.71, 6 Au 2.72-2.93
Au 0.0000 0.0000 0.5382  1 In 2.70, 4 Ni 2.72, 4 Au 2.83
Au 0.5000 0.5000 0.2712  4 Au 2.83, 4 In 2.84, 2 Ni 2.92-2.93

***

3.
First-principles (GGA-PBEsol) data for CsLi3P after structural relaxation, as listed in Alexandria via LeMat-Bulk.

The symmetry is Pm-3m, No. 221. As for the formation energy: -303 meV/atom. The volume is 121 Å³ per cell. The crystal system is cubic.

abc: 4.9471 4.9471 4.9471
angles: 90.00 90.00 90.00
With the nearest neighbours (Å) after each atom.
Sites, in units of the cell vectors:
Cs 0.0000 0.0000 0.0000  12 Li 3.50
Li 0.0000 0.5000 0.5000  2 P 2.47
Li 0.5000 0.0000 0.5000  2 P 2.47
Li 0.5000 0.5000 0.0000  2 P 2.47
P 0.5000 0.5000 0.5000  6 Li 2.47

***

4.
First-principles (GGA-PBEsol) data for LaMnW2 after structural relaxation, as listed in Alexandria via LeMat-Bulk.

The symmetry is R-3m, No. 166. As for the formation energy: 757 meV/atom. The volume is 207 Å³ per cell. The crystal system is trigonal.

abc: 2.8702 2.8702 28.9735
angles: 90.00 90.00 120.00
With the nearest neighbours (Å) after each atom.
Sites, in units of the cell vectors:
La 0.0000 0.0000 0.0000  6 La 2.87
La 0.3333 0.6667 0.6667  6 La 2.87
La 0.6667 0.3333 0.3333  6 La 2.87
Mn 0.0000 0.0000 0.5000  6 W 2.55
Mn 0.3333 0.6667 0.1667  6 W 2.55
Mn 0.6667 0.3333 0.8333  6 W 2.55
W 0.0000 0.0000 0.2337  3 Mn 2.55
W 0.0000 0.0000 0.7663  3 Mn 2.55
W 0.3333 0.6667 0.4329  3 Mn 2.55
W 0.3333 0.6667 0.9004  3 Mn 2.55
W 0.6667 0.3333 0.0996  3 Mn 2.55
W 0.6667 0.3333 0.5671  3 Mn 2.55